Entry 1:
A plane-wave DFT calculation with PBE-GGA was carried out for crystalline ScOsCl at its relaxed geometry.

Cell and atoms, written as POSCAR:
```
ScOsCl
1.0
4.257 0.000 0.000
-2.128 3.686 0.000
0.000 0.000 3.149
Sc Os Cl
1 1 1
direct
0.000 0.000 0.000 Sc
0.333 0.667 0.500 Os
0.667 0.333 0.500 Cl
```

space-group type = P-6m2 (187)
E above lowest polymorph = 0.384 eV/atom
calculated density = 9.10 g/cm3
formation energy (no corrections) = 45 meV per atom
final energy = -19.27 eV for the cell shown

***

Entry 2:
A plane-wave DFT calculation with PBE-GGA was carried out for crystalline ScOsCl3 at its relaxed geometry.

Cell and atoms, written as POSCAR:
```
ScOsCl3
1.0
4.769 0.000 0.000
0.000 4.769 0.000
0.000 0.000 4.769
Sc Os Cl
1 1 3
direct
0.000 0.000 0.000 Sc
0.500 0.500 0.500 Os
0.000 0.500 0.500 Cl
0.500 0.000 0.500 Cl
0.500 0.500 0.000 Cl
```

space-group type = Pm-3m (221)
E above lowest polymorph = 0.218 eV/atom
calculated density = 5.23 g/cm3
formation energy (no corrections) = 254 meV per atom
final energy = -21.83 eV for the cell shown

***

Entry 3:
A plane-wave DFT calculation with PBE-GGA was carried out for crystalline ScOsCl at its relaxed geometry.

Cell and atoms, written as POSCAR:
```
ScOsCl
1.0
-1.482 1.482 6.987
1.482 -1.482 6.987
1.482 1.482 -6.987
Sc Os Cl
1 1 1
direct
0.000 0.000 0.000 Sc
0.630 0.630 0.000 Os
0.377 0.377 0.000 Cl
```

space-group type = I4mm (107)
E above lowest polymorph = 0.162 eV/atom
calculated density = 7.32 g/cm3
formation energy (no corrections) = -177 meV per atom
final energy = -19.94 eV for the cell shown

***

Entry 4:
A plane-wave DFT calculation with PBE-GGA was carried out for crystalline ScSn2OsCl at its relaxed geometry.

Cell and atoms, written as POSCAR:
```
ScSn2OsCl
1.0
5.309 0.000 0.000
0.000 5.309 0.000
0.000 0.000 4.353
Sc Sn Os Cl
1 2 1 1
direct
0.000 0.000 0.000 Sc
0.000 0.500 0.500 Sn
0.500 0.000 0.500 Sn
0.500 0.500 0.000 Os
0.500 0.500 0.500 Cl
```

space-group type = P4/mmm (123)
calculated density = 6.88 g/cm3
formation energy (no corrections) = 867 meV per atom
final energy = -23.08 eV for the cell shown

***

Entry 5:
A plane-wave DFT calculation with PBE-GGA was carried out for crystalline Os2SeCl8 at its relaxed geometry.

Cell and atoms, written as POSCAR:
```
Os2SeCl8
1.0
4.706 -4.881 0.000
4.706 4.881 0.000
-1.410 0.000 7.454
Os Se Cl
2 1 8
direct
0.091 0.091 0.245 Os
0.909 0.909 0.755 Os
0.000 0.000 0.500 Se
0.143 0.670 0.784 Cl
0.152 0.152 0.943 Cl
0.330 0.857 0.216 Cl
0.332 0.332 0.355 Cl
0.668 0.668 0.645 Cl
0.670 0.143 0.784 Cl
0.848 0.848 0.057 Cl
0.857 0.330 0.216 Cl
```

space-group type = C2/m (12)
calculated density = 3.60 g/cm3
formation energy (no corrections) = -271 meV per atom
final energy = -43.70 eV for the cell shown

***

Entry 6:
A plane-wave DFT calculation with PBE-GGA was carried out for crystalline OsSeCl4 at its relaxed geometry.

Cell and atoms, written as POSCAR:
```
OsSeCl4
1.0
0.000 3.996 3.996
3.996 0.000 3.996
3.996 3.996 0.000
Os Se Cl
1 1 4
direct
0.000 0.000 0.000 Os
0.750 0.750 0.750 Se
0.374 0.374 0.374 Cl
0.374 0.374 0.878 Cl
0.374 0.878 0.374 Cl
0.878 0.374 0.374 Cl
```

space-group type = F-43m (216)
calculated density = 5.35 g/cm3
formation energy (no corrections) = 1600 meV per atom
final energy = -12.50 eV for the cell shown

***

Entry 7:
A plane-wave DFT calculation with PBE-GGA was carried out for crystalline OsSeCl6 at its relaxed geometry.

Cell and atoms, written as POSCAR:
```
OsSeCl6
1.0
5.993 -4.883 0.000
5.993 4.883 0.000
-1.611 0.000 9.838
Os Se Cl
2 2 12
direct
0.000 0.500 0.000 Os
0.500 0.000 0.500 Os
0.243 0.757 0.250 Se
0.757 0.243 0.750 Se
0.065 0.222 0.866 Cl
0.128 0.629 0.854 Cl
0.222 0.065 0.366 Cl
0.275 0.450 0.140 Cl
0.371 0.872 0.646 Cl
0.450 0.275 0.640 Cl
0.550 0.725 0.360 Cl
0.629 0.128 0.354 Cl
0.725 0.550 0.860 Cl
0.778 0.935 0.634 Cl
0.872 0.371 0.146 Cl
0.935 0.778 0.134 Cl
```

space-group type = C2/c (15)
calculated density = 2.78 g/cm3
formation energy (no corrections) = -295 meV per atom
final energy = -56.30 eV for the cell shown

***

Entry 8:
A plane-wave DFT calculation with PBE-GGA was carried out for crystalline Os4SeCl at its relaxed geometry.

Cell and atoms, written as POSCAR:
```
Os4SeCl
1.0
0.000 3.727 3.727
3.727 0.000 3.727
3.727 3.727 0.000
Os Se Cl
4 1 1
direct
0.376 0.376 0.376 Os
0.376 0.376 0.873 Os
0.376 0.873 0.376 Os
0.873 0.376 0.376 Os
0.750 0.750 0.750 Se
0.000 0.000 0.000 Cl
```

space-group type = F-43m (216)
calculated density = 14.04 g/cm3
formation energy (no corrections) = 1586 meV per atom
final energy = -40.74 eV for the cell shown

***

Entry 9:
A plane-wave DFT calculation with PBE-GGA was carried out for crystalline Sm4OsSeCl2 at its relaxed geometry.

Cell and atoms, written as POSCAR:
```
Sm4OsSeCl2
1.0
7.413 0.000 0.000
0.000 4.054 0.000
-2.281 0.000 7.167
Sm Os Se Cl
4 1 1 2
direct
0.211 0.000 0.216 Sm
0.218 0.500 0.763 Sm
0.782 0.500 0.237 Sm
0.789 0.000 0.784 Sm
0.000 0.500 0.000 Os
0.000 0.000 0.500 Se
0.500 0.000 0.000 Cl
0.500 0.500 0.500 Cl
```

space-group type = P2/m (10)
calculated density = 7.26 g/cm3
formation energy (no corrections) = -1192 meV per atom
final energy = -46.82 eV for the cell shown

***

Entry 10:
A plane-wave DFT calculation with PBE-GGA was carried out for crystalline Th8Os3Se4Cl at its relaxed geometry.

Cell and atoms, written as POSCAR:
```
Th8Os3Se4Cl
1.0
4.142 2.392 7.213
-4.142 2.392 7.213
0.000 -4.783 7.213
Th Os Se Cl
8 3 4 1
direct
0.228 0.750 0.750 Th
0.238 0.238 0.238 Th
0.250 0.250 0.772 Th
0.250 0.772 0.250 Th
0.750 0.228 0.750 Th
0.750 0.750 0.228 Th
0.762 0.762 0.762 Th
0.772 0.250 0.250 Th
0.000 0.000 0.500 Os
0.000 0.500 0.000 Os
0.500 0.000 0.000 Os
0.000 0.000 0.000 Se
0.000 0.500 0.500 Se
0.500 0.000 0.500 Se
0.500 0.500 0.000 Se
0.500 0.500 0.500 Cl
```

space-group type = R-3m (166)
calculated density = 10.76 g/cm3
formation energy (no corrections) = -1079 meV per atom
final energy = -126.09 eV for the cell shown

***

Entry 11:
A plane-wave DFT calculation with PBE-GGA was carried out for crystalline Th4Os2SeCl at its relaxed geometry.

Cell and atoms, written as POSCAR:
```
Th4Os2SeCl
1.0
7.190 0.000 0.000
0.000 4.151 0.000
-2.417 0.000 7.435
Th Os Se Cl
4 2 1 1
direct
0.231 0.000 0.201 Th
0.262 0.500 0.794 Th
0.738 0.500 0.206 Th
0.769 0.000 0.799 Th
0.000 0.500 0.000 Os
0.500 0.000 0.000 Os
0.000 0.000 0.500 Se
0.500 0.500 0.500 Cl
```

space-group type = P2/m (10)
calculated density = 10.65 g/cm3
formation energy (no corrections) = -958 meV per atom
final energy = -65.13 eV for the cell shown

***

Entry 12:
A plane-wave DFT calculation with PBE-GGA was carried out for crystalline Th4OsSe2Cl at its relaxed geometry.

Cell and atoms, written as POSCAR:
```
Th4OsSe2Cl
1.0
7.236 0.000 0.000
0.000 4.097 0.000
-2.426 0.000 7.090
Th Os Se Cl
4 1 2 1
direct
0.226 0.000 0.226 Th
0.243 0.500 0.760 Th
0.757 0.500 0.240 Th
0.774 0.000 0.774 Th
0.000 0.500 0.000 Os
0.000 0.000 0.500 Se
0.500 0.500 0.500 Se
0.500 0.000 0.000 Cl
```

space-group type = P2/m (10)
calculated density = 10.36 g/cm3
formation energy (no corrections) = -1161 meV per atom
final energy = -59.01 eV for the cell shown